Entry 1:
# CaHo2Hg, relaxed, DFT PBE
data_CaHo2Hg
_chemical_formula_sum 'Ca1 Ho2 Hg1'
_symmetry_space_group_name_H-M 'P 4/m m m'
_symmetry_Int_Tables_number 123
_symmetry_space_group_name_Hall '-P 4 2'
_cell_length_a 4.9144
_cell_length_b 4.9144
_cell_length_c 4.6949
_cell_angle_alpha 90.00
_cell_angle_beta 90.00
_cell_angle_gamma 90.00
loop_
_atom_site_label
_atom_site_type_symbol
_atom_site_fract_x
_atom_site_fract_y
_atom_site_fract_z
Ca1 Ca 0.0000 0.0000 0.0000
Ho1 Ho 0.0000 0.5000 0.5000
Hg1 Hg 0.5000 0.5000 0.0000
# Total moment ... 0.0000 μB per atom
# Volume ... 113.39 Å³/cell
# VASP energy ... -11.9 eV/cell
# ΔE to the lowest computed polymorph ... 0.036 eV per atom

=====

Entry 2:
# CaHo3Hg4, relaxed, DFT PBE
data_CaHo3Hg4
_chemical_formula_sum 'Ca1 Ho3 Hg4'
_symmetry_space_group_name_H-M 'P 4/m m m'
_symmetry_Int_Tables_number 123
_symmetry_space_group_name_Hall '-P 4 2'
_cell_length_a 5.2459
_cell_length_b 5.2459
_cell_length_c 7.4690
_cell_angle_alpha 90.00
_cell_angle_beta 90.00
_cell_angle_gamma 90.00
loop_
_atom_site_label
_atom_site_type_symbol
_atom_site_fract_x
_atom_site_fract_y
_atom_site_fract_z
Ca1 Ca 0.0000 0.0000 0.0000
Ho1 Ho 0.0000 0.0000 0.5000
Ho2 Ho 0.5000 0.5000 0.0000
Ho3 Ho 0.5000 0.5000 0.5000
Hg1 Hg 0.0000 0.5000 0.2553
# Total moment ... 0.0000 μB per atom
# Volume ... 205.54 Å³/cell
# VASP energy ... -21.0 eV/cell

=====

Entry 3:
# CaHoHg, relaxed, DFT PBE
data_CaHoHg
_chemical_formula_sum 'Ca2 Ho2 Hg2'
_symmetry_space_group_name_H-M 'I 4 m m'
_symmetry_Int_Tables_number 107
_symmetry_space_group_name_Hall 'I 4 -2'
_cell_length_a 3.7279
_cell_length_b 3.7279
_cell_length_c 13.0182
_cell_angle_alpha 90.00
_cell_angle_beta 90.00
_cell_angle_gamma 90.00
loop_
_atom_site_label
_atom_site_type_symbol
_atom_site_fract_x
_atom_site_fract_y
_atom_site_fract_z
Ca1 Ca 0.0000 0.0000 0.0000
Ho1 Ho 0.0000 0.0000 0.2832
Hg1 Hg 0.0000 0.0000 0.6559
# Total moment ... 0.0001 μB per atom
# Volume ... 180.92 Å³/cell
# VASP energy ... -15.5 eV/cell
# ΔE to the lowest computed polymorph ... 0.000 eV per atom

=====

Entry 4:
# CaHoHg4, relaxed, DFT PBE
data_CaHoHg4
_chemical_formula_sum 'Ca2 Ho2 Hg8'
_symmetry_space_group_name_H-M 'C 1 2/m 1'
_symmetry_Int_Tables_number 12
_cell_length_a 10.6571
_cell_length_b 3.8786
_cell_length_c 7.9003
_cell_angle_alpha 90.00
_cell_angle_beta 111.87
_cell_angle_gamma 90.00
loop_
_symmetry_equiv_pos_as_xyz
'x,y,z'
'-x,-y,-z'
'-x,y,-z'
'x,-y,z'
'x+1/2,y+1/2,z'
'-x+1/2,-y+1/2,-z'
'-x+1/2,y+1/2,-z'
'x+1/2,-y+1/2,z'
loop_
_atom_site_label
_atom_site_type_symbol
_atom_site_fract_x
_atom_site_fract_y
_atom_site_fract_z
Ca1 Ca 0.0000 0.0000 0.0000
Ho1 Ho 0.0000 0.0000 0.5000
Hg1 Hg 0.1670 0.5000 0.3394
Hg2 Hg 0.1688 0.5000 0.8276
# Total moment ... 0.0000 μB per atom
# Volume ... 303.05 Å³/cell
# VASP energy ... -20.3 eV/cell
# ΔE to the lowest computed polymorph ... 0.014 eV per atom

=====

Entry 5:
# CaHo2In2Hg2, relaxed, DFT PBE
data_CaHo2In2Hg2
_chemical_formula_sum 'Ca3 Ho6 In6 Hg6'
_symmetry_space_group_name_H-M 'R -3 m'
_symmetry_Int_Tables_number 166
_symmetry_space_group_name_Hall '-R 3 2"'
_cell_length_a 4.9775
_cell_length_b 4.9775
_cell_length_c 27.4620
_cell_angle_alpha 90.00
_cell_angle_beta 90.00
_cell_angle_gamma 120.00
loop_
_atom_site_label
_atom_site_type_symbol
_atom_site_fract_x
_atom_site_fract_y
_atom_site_fract_z
Ca1 Ca 0.0000 0.0000 0.0000
Ho1 Ho 0.0000 0.0000 0.1322
In1 In 0.0000 0.0000 0.2610
Hg1 Hg 0.0000 0.0000 0.4324
# Total moment ... 0.0000 μB per atom
# Volume ... 589.23 Å³/cell
# VASP energy ... -58.0 eV/cell

=====

Entry 6:
# Ca2LaHoHg4, relaxed, DFT PBE
data_Ca2LaHoHg4
_chemical_formula_sum 'Ca6 La3 Ho3 Hg12'
_symmetry_space_group_name_H-M 'R -3 m'
_symmetry_Int_Tables_number 166
_symmetry_space_group_name_Hall '-R 3 2"'
_cell_length_a 5.3540
_cell_length_b 5.3540
_cell_length_c 26.3726
_cell_angle_alpha 90.00
_cell_angle_beta 90.00
_cell_angle_gamma 120.00
loop_
_atom_site_label
_atom_site_type_symbol
_atom_site_fract_x
_atom_site_fract_y
_atom_site_fract_z
Ca1 Ca 0.0000 0.0000 0.2485
La1 La 0.0000 0.0000 0.0000
Ho1 Ho 0.0000 0.0000 0.5000
Hg1 Hg 0.0000 0.0000 0.1275
Hg2 Hg 0.0000 0.0000 0.3789
# Total moment ... 0.0000 μB per atom
# Volume ... 654.71 Å³/cell
# VASP energy ... -57.0 eV/cell

=====

Entry 7:
# CaLaHo2Hg4, relaxed, DFT PBE
data_CaLaHo2Hg4
_chemical_formula_sum 'Ca3 La3 Ho6 Hg12'
_symmetry_space_group_name_H-M 'R -3 m'
_symmetry_Int_Tables_number 166
_symmetry_space_group_name_Hall '-R 3 2"'
_cell_length_a 5.3124
_cell_length_b 5.3124
_cell_length_c 26.4705
_cell_angle_alpha 90.00
_cell_angle_beta 90.00
_cell_angle_gamma 120.00
loop_
_atom_site_label
_atom_site_type_symbol
_atom_site_fract_x
_atom_site_fract_y
_atom_site_fract_z
Ca1 Ca 0.0000 0.0000 0.0000
La1 La 0.0000 0.0000 0.5000
Ho1 Ho 0.0000 0.0000 0.2531
Hg1 Hg 0.0000 0.0000 0.1215
Hg2 Hg 0.0000 0.0000 0.3743
# Total moment ... 0.0000 μB per atom
# Volume ... 646.95 Å³/cell
# VASP energy ... -63.7 eV/cell

=====

Entry 8:
# LiCaHo2Hg4, relaxed, DFT PBE
data_LiCaHo2Hg4
_chemical_formula_sum 'Li3 Ca3 Ho6 Hg12'
_symmetry_space_group_name_H-M 'R -3 m'
_symmetry_Int_Tables_number 166
_symmetry_space_group_name_Hall '-R 3 2"'
_cell_length_a 5.1481
_cell_length_b 5.1481
_cell_length_c 25.3808
_cell_angle_alpha 90.00
_cell_angle_beta 90.00
_cell_angle_gamma 120.00
loop_
_atom_site_label
_atom_site_type_symbol
_atom_site_fract_x
_atom_site_fract_y
_atom_site_fract_z
Li1 Li 0.0000 0.0000 0.0000
Ca1 Ca 0.0000 0.0000 0.5000
Ho1 Ho 0.0000 0.0000 0.2532
Hg1 Hg 0.0000 0.0000 0.1204
Hg2 Hg 0.0000 0.0000 0.3734
# Total moment ... 0.0000 μB per atom
# Volume ... 582.55 Å³/cell
# VASP energy ... -53.9 eV/cell

=====

Entry 9:
# Li2CaHoHg4, relaxed, DFT PBE
data_Li2CaHoHg4
_chemical_formula_sum 'Li6 Ca3 Ho3 Hg12'
_symmetry_space_group_name_H-M 'R -3 m'
_symmetry_Int_Tables_number 166
_symmetry_space_group_name_Hall '-R 3 2"'
_cell_length_a 5.0541
_cell_length_b 5.0541
_cell_length_c 24.8643
_cell_angle_alpha 90.00
_cell_angle_beta 90.00
_cell_angle_gamma 120.00
loop_
_atom_site_label
_atom_site_type_symbol
_atom_site_fract_x
_atom_site_fract_y
_atom_site_fract_z
Li1 Li 0.0000 0.0000 0.2490
Ca1 Ca 0.0000 0.0000 0.0000
Ho1 Ho 0.0000 0.0000 0.5000
Hg1 Hg 0.0000 0.0000 0.1274
Hg2 Hg 0.0000 0.0000 0.3780
# Total moment ... 0.0000 μB per atom
# Volume ... 550.04 Å³/cell
# VASP energy ... -45.1 eV/cell

=====

Entry 10:
# LiCaHoHg, relaxed, DFT PBE
data_LiCaHoHg
_chemical_formula_sum 'Li4 Ca4 Ho4 Hg4'
_symmetry_space_group_name_H-M 'F -4 3 m'
_symmetry_Int_Tables_number 216
_symmetry_space_group_name_Hall 'F -4 2 3'
_cell_length_a 7.4433
_cell_length_b 7.4433
_cell_length_c 7.4433
_cell_angle_alpha 90.00
_cell_angle_beta 90.00
_cell_angle_gamma 90.00
loop_
_atom_site_label
_atom_site_type_symbol
_atom_site_fract_x
_atom_site_fract_y
_atom_site_fract_z
Li1 Li 0.0000 0.0000 0.0000
Ca1 Ca 0.2500 0.2500 0.2500
Ho1 Ho 0.2500 0.2500 0.7500
Hg1 Hg 0.0000 0.0000 0.5000
# Total moment ... 0.0000 μB per atom
# Volume ... 412.38 Å³/cell
# VASP energy ... -39.0 eV/cell

=====

What did the third record say?
# CaHoHg, relaxed, DFT PBE
data_CaHoHg
_chemical_formula_sum 'Ca2 Ho2 Hg2'
_symmetry_space_group_name_H-M 'I 4 m m'
_symmetry_Int_Tables_number 107
_symmetry_space_group_name_Hall 'I 4 -2'
_cell_length_a 3.7279
_cell_length_b 3.7279
_cell_length_c 13.0182
_cell_angle_alpha 90.00
_cell_angle_beta 90.00
_cell_angle_gamma 90.00
loop_
_atom_site_label
_atom_site_type_symbol
_atom_site_fract_x
_atom_site_fract_y
_atom_site_fract_z
Ca1 Ca 0.0000 0.0000 0.0000
Ho1 Ho 0.0000 0.0000 0.2832
Hg1 Hg 0.0000 0.0000 0.6559
# Total moment ... 0.0001 μB per atom
# Volume ... 180.92 Å³/cell
# VASP energy ... -15.5 eV/cell
# ΔE to the lowest computed polymorph ... 0.000 eV per atom